A plane-wave DFT calculation with PBE was carried out for a geometry-optimized CsCdHgTe2 structure.

Its formation energy without anion corrections is -44.9 kJ per mole of atoms.

a = 8.2837 Å, b = 8.2837 Å, c = 7.9898 Å
α = 90.00°, β = 90.00°, γ = 131.67°
With the nearest neighbours (Å) after each atom.
Fractional coordinates of all 10 atoms:
Cs (0.2500, 0.7500, 0.7506)  6 Te 3.96-4.08, 2 Hg 4.27
Cs (0.7500, 0.2500, 0.2494)  6 Te 3.96-4.08, 2 Hg 4.27
Cd (0.2500, 0.2500, 0.5000)  4 Te 2.91
Cd (0.7500, 0.7500, 0.5000)  4 Te 2.91
Hg (0.0000, 0.0000, 0.0000)  2 Te 3.02
Hg (0.5000, 0.5000, 0.0000)  2 Te 3.02
Te (0.1181, 0.8819, 0.3053)  2 Cd 2.91, 1 Hg 3.02
Te (0.3819, 0.6181, 0.3053)  2 Cd 2.91, 1 Hg 3.02
Te (0.6181, 0.3819, 0.6947)  2 Cd 2.91, 1 Hg 3.02
Te (0.8819, 0.1181, 0.6947)  2 Cd 2.91, 1 Hg 3.02

---

A plane-wave DFT calculation with PBE was carried out for a geometry-optimized PrCdPd2 structure.

Its energy of formation is -0.54 eV/atom.

a = 4.8593 Å, b = 4.8593 Å, c = 3.5275 Å
α = 90.00°, β = 90.00°, γ = 90.00°
With the nearest neighbours (Å) after each atom.
Fractional coordinates of all 4 atoms:
Pr (0.0000, 0.0000, 0.0000)  8 Pd 3.00
Cd (0.5000, 0.5000, 0.0000)  8 Pd 3.00
Pd (0.0000, 0.5000, 0.5000)  4 Cd 3.00, 4 Pr 3.00
Pd (0.5000, 0.0000, 0.5000)  4 Cd 3.00, 4 Pr 3.00

---

A plane-wave DFT calculation with PBE was carried out for a geometry-optimized LiCaPu2Au4 structure.

Its energy of formation is -0.46 eV/atom.

a = 8.7498 Å, b = 8.7498 Å, c = 8.7498 Å
α = 33.72°, β = 33.72°, γ = 33.72°
With the nearest neighbours (Å) after each atom.
Fractional coordinates of all 8 atoms:
Li (0.0000, 0.0000, 0.0000)  8 Au 3.04-3.11
Ca (0.5000, 0.5000, 0.5000)  8 Au 3.08-3.12
Pu (0.2540, 0.2540, 0.2540)  8 Au 3.01-3.24
Pu (0.7460, 0.7460, 0.7460)  8 Au 3.01-3.24
Au (0.1229, 0.1229, 0.1229)  1 Li 3.04, 4 Pu 3.12-3.24, 3 Ca 3.12
Au (0.3755, 0.3755, 0.3755)  4 Pu 3.01-3.07, 1 Ca 3.08, 3 Li 3.11
Au (0.6245, 0.6245, 0.6245)  4 Pu 3.01-3.07, 1 Ca 3.08, 3 Li 3.11
Au (0.8771, 0.8771, 0.8771)  1 Li 3.04, 4 Pu 3.12-3.24, 3 Ca 3.12

---

no.,calculated total energy (eV per cell)
1,-21.4
2,-18.2
3,-49.4